1.
A plane-wave DFT calculation with GGA-PBE was carried out for a relaxed LaGe3Br crystal.

Cell lengths 5.1629, 5.1629, 5.1629 Å; angles 90.00, 90.00, 90.00 degrees
Fractional positions:
Ge (0.0000, 0.5000, 0.0000)
Ge (0.5000, 0.0000, 0.0000)
Ge (0.0000, 0.0000, 0.5000)
La (0.5000, 0.5000, 0.5000)
Br (0.0000, 0.0000, 0.0000)

Values from the calculation:
The formation energy from raw total energies comes out at 333 meV per atom. The excess energy over the best structure of this formula in the dataset is 0.000 eV per atom.



2.
A plane-wave DFT calculation with GGA-PBE was carried out for a relaxed Tb8PmPr3 crystal.

Cell lengths 8.4302, 8.4302, 8.4302 Å; angles 94.91, 117.21, 117.21 degrees
Fractional positions:
Tb (0.7504, 0.1231, 0.1231)
Tb (0.5050, 0.7474, 0.7474)
Tb (0.0000, 0.8769, 0.6274)
Tb (0.2496, 0.3726, 0.3726)
Tb (0.0000, 0.7575, 0.2526)
Tb (0.0000, 0.2526, 0.7575)
Tb (0.0000, 0.6274, 0.8769)
Tb (0.4950, 0.2425, 0.2425)
Pr (0.5000, 0.7500, 0.2500)
Pr (0.5000, 0.2500, 0.7500)
Pr (0.0000, 0.5000, 0.5000)
Pm (0.0000, 0.0000, 0.0000)

Values from the calculation:
For the formation energy, the calculation gives 0.598 eV/atom.



3.
A plane-wave DFT calculation with GGA-PBE was carried out for a relaxed BeIn2Si crystal.

Cell lengths 3.1303, 3.1303, 7.8762 Å; angles 90.00, 90.00, 96.96 degrees
Fractional positions:
Si (0.5000, 0.5000, 0.2500)
Be (0.5000, 0.5000, 0.7500)
In (0.0000, 0.0000, 0.5225)
In (0.0000, 0.0000, 0.9775)

Values from the calculation:
The formation energy from raw total energies comes out at 548 meV per atom. The excess energy over the best structure of this formula in the dataset is 0.335 eV per atom.



4.
A plane-wave DFT calculation with GGA-PBE was carried out for a relaxed HgMoSe2 crystal.

Cell lengths 7.2132, 7.2132, 7.3482 Å; angles 60.61, 60.61, 90.00 degrees
Fractional positions:
Mo (0.5000, 0.5000, 0.0000)
Mo (0.2500, 0.7500, 0.5000)
Se (0.3750, 0.5133, 0.7500)
Se (0.2633, 0.6250, 0.2500)
Se (0.8750, 0.7367, 0.7500)
Se (0.4867, 0.1250, 0.2500)
Hg (0.0000, 0.0000, 0.0000)
Hg (0.7500, 0.2500, 0.5000)

Values from the calculation:
The formation energy from raw total energies comes out at 63 meV per atom.



5.
A plane-wave DFT calculation with GGA-PBE was carried out for a relaxed AlTcGe2 crystal.

Cell lengths 5.9100, 5.9100, 6.7995 Å; angles 64.24, 64.24, 90.00 degrees
Fractional positions:
Al (0.5000, 0.5000, 0.0000)
Al (0.2500, 0.7500, 0.5000)
Ge (0.8750, 0.8971, 0.7500)
Ge (0.6471, 0.1250, 0.2500)
Ge (0.3750, 0.3529, 0.7500)
Ge (0.1029, 0.6250, 0.2500)
Tc (0.0000, 0.0000, 0.0000)
Tc (0.7500, 0.2500, 0.5000)

Values from the calculation:
For the formation energy, the calculation gives 0.588 eV/atom. The excess energy over the best structure of this formula in the dataset is 0.595 eV per atom.



6.
A plane-wave DFT calculation with GGA-PBE was carried out for a relaxed TaTi crystal.

Cell lengths 2.8456, 2.8456, 9.2853 Å; angles 90.00, 90.00, 108.80 degrees
Fractional positions:
Ti (0.7500, 0.2500, 0.1269)
Ti (0.2500, 0.7500, 0.8731)
Ta (0.2500, 0.7500, 0.3723)
Ta (0.7500, 0.2500, 0.6277)

Values from the calculation:
For the formation energy, the calculation gives 0.065 eV/atom.



7.
A plane-wave DFT calculation with GGA-PBE was carried out for a relaxed La2CdGe crystal.

Cell lengths 4.3846, 6.3504, 9.2017 Å; angles 112.33, 90.00, 90.00 degrees
Last column: magnetic moment on the atom in μB.
Fractional positions:
Ge (0.7500, 0.6688, 0.2943)  0.00
Ge (0.2500, 0.3312, 0.7057)  0.00
La (0.2500, 0.7739, 0.0753)  0.05
La (0.2500, 0.7902, 0.5690)  0.04
La (0.7500, 0.2098, 0.4310)  0.04
La (0.7500, 0.2261, 0.9247)  0.05
Cd (0.2500, 0.3571, 0.2149)  0.00
Cd (0.7500, 0.6429, 0.7851)  0.00

Values from the calculation:
For the formation energy, the calculation gives -0.535 eV/atom.



8.
A plane-wave DFT calculation with GGA-PBE was carried out for a relaxed Ac2HoAg4 crystal.

Cell lengths 5.5918, 5.5918, 7.7133 Å; angles 111.25, 111.25, 90.00 degrees
Fractional positions:
Ho (0.0000, 0.0000, 0.0000)
Ac (0.2846, 0.2846, 0.5691)
Ac (0.7154, 0.7154, 0.4309)
Ag (0.3929, 0.8929, 0.7858)
Ag (0.1071, 0.6071, 0.2142)
Ag (0.6071, 0.1071, 0.2142)
Ag (0.8929, 0.3929, 0.7858)

Values from the calculation:
For the formation energy, the calculation gives -0.103 eV/atom.



9.
A plane-wave DFT calculation with GGA-PBE was carried out for a relaxed Ac2AlZn4Ga3 crystal.

Cell lengths 4.4258, 4.4258, 10.7934 Å; angles 90.00, 90.00, 90.00 degrees
Fractional positions:
Ac (0.5000, 0.0000, 0.2468)
Ac (0.0000, 0.5000, 0.7532)
Zn (0.5000, 0.5000, 0.0000)
Zn (0.5000, 0.0000, 0.6330)
Zn (0.0000, 0.0000, 0.0000)
Zn (0.0000, 0.5000, 0.3670)
Ga (0.0000, 0.5000, 0.1300)
Ga (0.0000, 0.0000, 0.5000)
Ga (0.5000, 0.0000, 0.8700)
Al (0.5000, 0.5000, 0.5000)

Values from the calculation:
For the formation energy, the calculation gives -0.455 eV/atom.



10.
A plane-wave DFT calculation with GGA-PBE was carried out for a relaxed PmSm3YSc crystal.

Cell lengths 5.7182, 10.7570, 6.5805 Å; angles 93.12, 90.00, 105.41 degrees
Fractional positions:
Sm (0.2234, 0.4468, 0.2982)
Sm (0.5185, 0.0370, 0.7522)
Sm (0.7766, 0.5532, 0.7018)
Sm (0.4815, 0.9630, 0.2478)
Sm (0.1589, 0.3179, 0.7672)
Sm (0.8411, 0.6821, 0.2328)
Sc (0.6370, 0.2740, 0.4881)
Sc (0.3630, 0.7260, 0.5119)
Pm (0.6524, 0.3048, 0.0406)
Pm (0.3476, 0.6952, 0.9594)
Y (0.0626, 0.1252, 0.2640)
Y (0.9374, 0.8748, 0.7360)

Values from the calculation:
For the formation energy, the calculation gives 0.174 eV/atom.



11.
A plane-wave DFT calculation with GGA-PBE was carried out for a relaxed NaLiSn crystal.

Cell lengths 5.2126, 5.2173, 8.0768 Å; angles 90.00, 90.03, 60.03 degrees
Fractional positions:
Na (0.1550, 0.5609, 0.0391)
Na (0.1550, 0.5607, 0.5394)
Sn (0.8219, 0.2272, 0.1219)
Sn (0.8217, 0.2270, 0.4560)
Li (0.8214, 0.2273, 0.7889)
Li (0.4876, 0.8947, 0.2892)

Values from the calculation:
For the formation energy, the calculation gives -0.090 eV/atom. The excess energy over the best structure of this formula in the dataset is 0.145 eV per atom.



12.
A plane-wave DFT calculation with GGA-PBE was carried out for a relaxed AsRu crystal.

Cell lengths 11.5341, 11.5341, 2.9807 Å; angles 90.00, 90.00, 90.00 degrees
Fractional positions:
Ru (0.5953, 0.7684, 0.5000)
Ru (0.8918, 0.5544, 0.0000)
Ru (0.4047, 0.2316, 0.5000)
Ru (0.7684, 0.4047, 0.5000)
Ru (0.1082, 0.4456, 0.0000)
Ru (0.4456, 0.8918, 0.0000)
Ru (0.2316, 0.5953, 0.5000)
Ru (0.5544, 0.1082, 0.0000)
As (0.3374, 0.0786, 0.0000)
As (0.6172, 0.2610, 0.5000)
As (0.2610, 0.3828, 0.5000)
As (0.7390, 0.6172, 0.5000)
As (0.6626, 0.9214, 0.0000)
As (0.0786, 0.6626, 0.0000)
As (0.9214, 0.3374, 0.0000)
As (0.3828, 0.7390, 0.5000)

Values from the calculation:
For the formation energy, the calculation gives 0.046 eV/atom.